(1)
Compound: LiPuIn2Pd4
Source: the Alexandria database
Functional: PBE
Structure: optimized geometry

```
data_LiPuIn2Pd4
_symmetry_space_group_name_H-M 'R -3 m'
_symmetry_Int_Tables_number 166
_symmetry_space_group_name_Hall '-R 3 2"'
_cell_length_a 4.6156
_cell_length_b 4.6156
_cell_length_c 23.9539
_cell_angle_alpha 90.00
_cell_angle_beta 90.00
_cell_angle_gamma 120.00
loop_
_atom_site_label
_atom_site_type_symbol
_atom_site_fract_x
_atom_site_fract_y
_atom_site_fract_z
Li1 Li 0.0000 0.0000 0.0000
Pu1 Pu 0.0000 0.0000 0.5000
In1 In 0.0000 0.0000 0.2580
Pd1 Pd 0.0000 0.0000 0.1091
Pd2 Pd 0.0000 0.0000 0.3739
```

DFT formation energy in eV per atom: -0.52

***

(2)
Compound: Tl4Br2O
Source: the Alexandria database
Functional: PBE
Structure: optimized geometry

```
data_Tl4Br2O
_symmetry_space_group_name_H-M 'P 1 21/m 1'
_symmetry_Int_Tables_number 11
_cell_length_a 7.6214
_cell_length_b 7.1730
_cell_length_c 9.5432
_cell_angle_alpha 90.00
_cell_angle_beta 109.34
_cell_angle_gamma 90.00
loop_
_symmetry_equiv_pos_as_xyz
'x,y,z'
'-x,-y,-z'
'-x,y+1/2,-z'
'x,-y+1/2,z'
loop_
_atom_site_label
_atom_site_type_symbol
_atom_site_fract_x
_atom_site_fract_y
_atom_site_fract_z
Tl1 Tl 0.0314 0.0017 0.2563
Tl2 Tl 0.3519 0.2500 0.6355
Tl3 Tl 0.3666 0.2500 0.0613
Br1 Br 0.2082 0.7500 0.5664
Br2 Br 0.2708 0.7500 0.0565
O1 O 0.1842 0.2500 0.8049
```

Uncorrected formation energy in kcal/mol of atoms: -16.96
Excess energy over the best structure of this formula in the dataset in meV/atom: 0

***

| no. | final energy (eV per atom) |
| --- | --- |
| 1 | -5.83 |
| 2 | -3.27 |